1.
Entry from Alexandria via LeMat-Bulk: a geometry-optimized Pm2GeTe structure (PBE).

For the energy, the calculation gives -22.14 eV per cell. As for the density: 6.8 g cm⁻³. The calculation puts the energy relative to the lowest polymorph listed for this composition at 0.000 eV per atom. As for the formation energy (no corrections): -1.22 eV/atom.

abc: 4.352 4.352 7.694
angles: 89.97 106.45 120.02
Fractional positions:
Pm: 0.517 0.259 0.776
Pm: 0.483 0.741 0.224
Te: 0.000 0.500 0.500
Ge: 0.000 0.000 0.000

2.
Entry from Alexandria via LeMat-Bulk: a geometry-optimized Pm4Ge2Te structure (PBE).

For the energy, the calculation gives -76.27 eV per cell. As for the density: 7.3 g cm⁻³. As for the formation energy (no corrections): -0.97 eV/atom.

abc: 7.961 7.961 7.961
angles: 109.05 110.32 109.05
Fractional positions:
Te: 0.000 0.000 0.000
Te: 0.750 0.500 0.250
Pm: 0.755 0.247 0.861
Pm: 0.614 0.753 0.508
Pm: 0.995 0.606 0.742
Pm: 0.492 0.106 0.245
Pm: 0.139 0.894 0.386
Pm: 0.258 0.253 0.864
Pm: 0.136 0.394 0.389
Pm: 0.611 0.747 0.005
Ge: 0.375 0.884 0.759
Ge: 0.241 0.616 0.125
Ge: 0.875 0.116 0.491
Ge: 0.509 0.384 0.625

> Which formula does entry 2 have?

Pm4Ge2Te

Repeat the first record exactly.
Entry from Alexandria via LeMat-Bulk: a geometry-optimized Pm2GeTe structure (PBE).

For the energy, the calculation gives -22.14 eV per cell. As for the density: 6.8 g cm⁻³. The calculation puts the energy relative to the lowest polymorph listed for this composition at 0.000 eV per atom. As for the formation energy (no corrections): -1.22 eV/atom.

abc: 4.352 4.352 7.694
angles: 89.97 106.45 120.02
Fractional positions:
Pm: 0.517 0.259 0.776
Pm: 0.483 0.741 0.224
Te: 0.000 0.500 0.500
Ge: 0.000 0.000 0.000

> The lowest density belongs to which entry?

Pm2GeTe

> Number 1 is which compound?

Pm2GeTe